No. 1
{
  "formula": "Sc2Co3Ge4",
  "functional": "PBE-GGA",
  "state": "relaxed",
  "lattice": [[5.3975, 0.0000, 0.0000], [0.0000, 7.0243, 0.0000], [-2.6988, 0.0000, 6.9842]],
  "species": ["Sc", "Sc", "Sc", "Sc", "Co", "Co", "Co", "Co", "Co", "Co", "Ge", "Ge", "Ge", "Ge", "Ge", "Ge", "Ge", "Ge"],
  "fractional_positions": [[0.1110, 0.5955, 0.2219], [0.8890, 0.4045, 0.7781], [0.3890, 0.0955, 0.7781], [0.6110, 0.9045, 0.2219], [0.0000, 0.0000, 0.0000], [0.5000, 0.5000, 0.0000], [0.5212, 0.7500, 0.5423], [0.9788, 0.2500, 0.4577], [0.4788, 0.2500, 0.4577], [0.0212, 0.7500, 0.5423], [0.6919, 0.7500, 0.8837], [0.8081, 0.2500, 0.1163], [0.3081, 0.2500, 0.1163], [0.1919, 0.7500, 0.8837], [0.1823, 0.9715, 0.3646], [0.8177, 0.0285, 0.6354], [0.3177, 0.4715, 0.6354], [0.6823, 0.5285, 0.3646]],
  "magmom_total_mub_per_fu": 0.00,
  "mass_density_g_cm3": 6.989,
  "delta_e_f_ev_per_atom": -0.5598,
  "space_group": "Cmce"
}

=====

No. 2
{
  "formula": "Ce5Co2Au4",
  "functional": "PBE-GGA",
  "state": "relaxed",
  "lattice": [[3.5575, 0.0000, 0.0000], [0.0000, 7.5636, 0.0000], [0.0000, 0.0000, 17.6970]],
  "species": ["Ce", "Ce", "Ce", "Ce", "Ce", "Ce", "Ce", "Ce", "Ce", "Ce", "Co", "Co", "Co", "Co", "Au", "Au", "Au", "Au", "Au", "Au", "Au", "Au"],
  "fractional_positions": [[0.0000, 0.5000, 0.0000], [0.0000, 0.0000, 0.5000], [0.0000, 0.2438, 0.2173], [0.0000, 0.7562, 0.7827], [0.0000, 0.7438, 0.2827], [0.0000, 0.2562, 0.7173], [0.0000, 0.3633, 0.4166], [0.0000, 0.6367, 0.5834], [0.0000, 0.8633, 0.0834], [0.0000, 0.1367, 0.9166], [0.5000, 0.4552, 0.3079], [0.5000, 0.5448, 0.6921], [0.5000, 0.9552, 0.1921], [0.5000, 0.0448, 0.8079], [0.5000, 0.2979, 0.5702], [0.5000, 0.7021, 0.4298], [0.5000, 0.7979, 0.9298], [0.5000, 0.2021, 0.0702], [0.5000, 0.4353, 0.8452], [0.5000, 0.5647, 0.1548], [0.5000, 0.9353, 0.6548], [0.5000, 0.0647, 0.3452]],
  "magmom_total_mub_per_fu": 1.56,
  "mass_density_g_cm3": 11.203,
  "delta_e_f_ev_per_atom": -0.5217,
  "space_group": "Pbam"
}

=====

No. 3
{
  "formula": "Ca2Y2In",
  "functional": "PBE-GGA",
  "state": "relaxed",
  "lattice": [[4.3318, 0.0000, 0.0000], [0.0000, 4.3318, 0.0000], [2.1659, 2.1659, 9.6869]],
  "species": ["Y", "Y", "Ca", "Ca", "In"],
  "fractional_positions": [[0.7500, 0.2500, 0.5000], [0.2500, 0.7500, 0.5000], [0.4090, 0.4090, 0.1820], [0.5910, 0.5910, 0.8180], [0.0000, 0.0000, 0.0000]],
  "de_polymorph_kj_per_mol_atoms": 13.2,
  "magmom_total_mub_per_fu": 0.00,
  "mass_density_g_cm3": 3.406,
  "delta_e_f_ev_per_atom": 0.2139,
  "space_group": "I4/mmm"
}

=====

No. 4
{
  "formula": "MnCdGaRh",
  "functional": "PBE-GGA",
  "state": "relaxed",
  "lattice": [[4.4569, 0.0000, 0.0000], [2.2284, 3.8598, 0.0000], [2.2284, 1.2866, 3.6390]],
  "species": ["Mn", "Rh", "Ga", "Cd"],
  "fractional_positions": [[0.7500, 0.7500, 0.7500], [0.2500, 0.2500, 0.2500], [0.0000, 0.0000, 0.0000], [0.5000, 0.5000, 0.5000]],
  "magmom_total_mub_per_fu": 3.66,
  "mass_density_g_cm3": 9.018,
  "delta_e_f_ev_per_atom": -0.1145,
  "space_group": "F-43m"
}